# 1
Cs2Ag2F5, relaxed, DFT PBE-GGA; crystal system = tetragonal; formation energy without anion corrections = -1.8655 eV/atom; E = -3.7285 eV per atom; magnetic moment = 0.00 μB per formula unit; density = 5.08 Mg/m³
1.0
4.461 0.000 0.000
0.000 4.461 0.000
0.000 0.000 9.468
Cs Ag F
2 2 5
Direct
0.000 0.000 0.000
0.000 0.000 0.500
0.500 0.500 0.247
0.500 0.500 0.753
0.000 0.500 0.221
0.000 0.500 0.779
0.500 0.000 0.221
0.500 0.000 0.779
0.500 0.500 0.500

# 2
CuNi2Hg, relaxed, DFT PBE-GGA; crystal system = tetragonal; E = -3.8303 eV per atom; magnetic moment = 0.00 μB per formula unit; density = 11.69 Mg/m³; ΔH_f (0 K) = 0.1599 eV/atom
1.0
3.004 0.000 0.000
0.000 3.004 0.000
0.000 0.000 6.003
Cu Ni Hg
1 2 1
Direct
0.000 0.000 0.000
0.500 0.500 0.214
0.500 0.500 0.786
0.000 0.000 0.500

# 3
KYMg4, relaxed, DFT PBE-GGA; crystal system = cubic; E = -2.2017 eV per atom; magnetic moment = 0.00 μB per formula unit; density = 2.15 Mg/m³; ΔH_f (0 K) = 0.1217 eV/atom
1.0
0.000 4.427 4.427
4.427 0.000 4.427
4.427 4.427 0.000
K Y Mg
1 1 4
Direct
0.000 0.000 0.000
0.250 0.250 0.250
0.129 0.624 0.624
0.624 0.129 0.624
0.624 0.624 0.129
0.624 0.624 0.624

# 4
YZr4Co2, relaxed, DFT PBE-GGA; crystal system = monoclinic; E = -7.9526 eV per atom; magnetic moment = 0.00 μB per formula unit; density = 6.56 Mg/m³; ΔH_f (0 K) = -0.1142 eV/atom
1.0
6.723 0.000 0.000
0.000 6.030 0.000
-2.292 0.000 7.136
Y Zr Co
2 8 4
Direct
0.148 0.250 0.029
0.852 0.750 0.971
0.042 0.250 0.417
0.243 0.750 0.342
0.391 0.001 0.764
0.391 0.499 0.764
0.609 0.501 0.236
0.609 0.999 0.236
0.757 0.250 0.658
0.958 0.750 0.583
0.304 0.750 0.015
0.400 0.250 0.421
0.600 0.750 0.579
0.696 0.250 0.985

# 5
MgTlBr2, relaxed, DFT PBE-GGA; crystal system = tetragonal; E above lowest polymorph = 0.2331 eV/atom; formation energy without anion corrections = -0.7468 eV/atom; E = -2.5735 eV per atom; magnetic moment = 0.00 μB per formula unit; density = 4.88 Mg/m³
1.0
-4.155 4.155 3.827
4.155 -4.155 3.827
4.155 4.155 -3.827
Mg Tl Br
2 2 4
Direct
0.000 0.000 0.000
0.750 0.250 0.500
0.250 0.750 0.500
0.500 0.500 0.000
0.029 0.625 0.904
0.375 0.279 0.404
0.721 0.125 0.096
0.875 0.971 0.596

# 6
Ta3AlCo, relaxed, DFT PBE-GGA; crystal system = cubic; E above lowest polymorph = 0.0000 eV/atom; E = -8.6765 eV per atom; magnetic moment = 0.00 μB per formula unit; density = 10.90 Mg/m³; ΔH_f (0 K) = 0.6048 eV/atom
1.0
4.576 0.000 0.000
0.000 4.576 0.000
0.000 0.000 4.576
Ta Al Co
3 1 1
Direct
0.000 0.000 0.500
0.000 0.500 0.000
0.500 0.000 0.000
0.500 0.500 0.500
0.000 0.000 0.000

# 7
KPmRuO4, relaxed, DFT PBE-GGA; crystal system = orthorhombic; formation energy without anion corrections = -1.8501 eV/atom; E = -6.8439 eV per atom; magnetic moment = 2.02 μB per formula unit; density = 5.15 Mg/m³
1.0
-3.291 3.691 4.637
3.291 -3.691 4.637
3.291 3.691 -4.637
K Pm Ru O
2 2 2 8
Direct
0.388 0.138 0.250
0.612 0.862 0.750
0.000 0.500 0.500
0.500 0.500 0.000
0.000 0.000 0.500
0.000 0.500 0.000
0.175 0.750 0.425
0.176 0.250 0.925
0.217 0.249 0.533
0.217 0.684 0.967
0.783 0.316 0.033
0.783 0.751 0.467
0.824 0.750 0.075
0.825 0.250 0.575

# 8
SrAcMgPb, relaxed, DFT PBE-GGA; crystal system = cubic; E = -3.0739 eV per atom; magnetic moment = 0.00 μB per formula unit; density = 6.44 Mg/m³; ΔH_f (0 K) = -0.3006 eV/atom
1.0
0.000 4.130 4.130
4.130 0.000 4.130
4.130 4.130 0.000
Sr Ac Mg Pb
1 1 1 1
Direct
0.000 0.000 0.000
0.500 0.500 0.500
0.750 0.750 0.750
0.250 0.250 0.250

What is the density in the second record? 11.69 Mg/m³

What is the formula in the fourth record? YZr4Co2